Material: Mg2Be2PdPt5
Method: DFT, PBE
State: optimized geometry

Calculated values
Uncorrected energy ... -5.24 eV per atom
Volume ... 14.76 A^3/atom
D(E_F) ... 0.4115 states/eV/atom
Crystal system ... tetragonal
E_form ... -0.64 eV per atom

a b c (Å): 9.388 9.388 3.349
angles (deg): 90.00 90.00 90.00
Atoms (fractional coordinates):
Mg1 0.176 0.324 0.000
Mg2 0.324 0.824 0.000
Mg3 0.676 0.176 0.000
Mg4 0.824 0.676 0.000
Be1 0.124 0.624 0.000
Be2 0.376 0.124 0.000
Be3 0.624 0.876 0.000
Be4 0.876 0.376 0.000
Pd1 0.000 0.000 0.000
Pd2 0.500 0.500 0.000
Pt1 0.000 0.500 0.500
Pt2 0.073 0.785 0.500
Pt3 0.215 0.073 0.500
Pt4 0.285 0.573 0.500
Pt5 0.427 0.285 0.500
Pt6 0.500 0.000 0.500
Pt7 0.573 0.715 0.500
Pt8 0.715 0.427 0.500
Pt9 0.785 0.927 0.500
Pt10 0.927 0.215 0.500

***

Material: Tb5Pm5Mg2
Method: DFT, PBE
State: optimized geometry

Calculated values
Uncorrected energy ... -4.16 eV per atom
Volume ... 31.63 A^3/atom
D(E_F) ... 1.3468 states/eV/atom
Crystal system ... monoclinic
E_form ... 0.01 eV per atom

a b c (Å): 7.973 7.973 11.144
angles (deg): 115.37 115.37 36.91
Atoms (fractional coordinates):
Tb1 0.000 0.000 0.000
Tb2 0.086 0.086 0.758
Tb3 0.166 0.166 0.498
Tb4 0.834 0.834 0.502
Tb5 0.914 0.914 0.242
Pm1 0.249 0.249 0.242
Pm2 0.419 0.419 0.755
Pm3 0.500 0.500 0.500
Pm4 0.581 0.581 0.245
Pm5 0.751 0.751 0.758
Mg1 0.332 0.332 0.001
Mg2 0.668 0.668 0.999